Rb2YBr | PBE | optimized geometry

volume = 57.0 Å³ per atom
formation energy without anion corrections = -0.14 eV/atom
crystal system = tetragonal
energy = -21.30 eV/cell

a b c (Å): 12.7110 12.7110 9.4201
angles (deg): 47.57 47.57 90.00
Each line ends with the local moment (μB).
Fractional positions:
Br: 0.2500 0.7500 0.5000  -0.01
Br: 0.5000 0.5000 0.0000  -0.01
Rb: 0.8750 0.7453 0.7500  0.01
Rb: 0.3750 0.5047 0.7500  0.01
Rb: 0.2547 0.6250 0.2500  0.01
Rb: 0.4953 0.1250 0.2500  0.01
Y: 0.7500 0.2500 0.5000  0.43
Y: 0.0000 0.0000 0.0000  0.42